Entry 1:
Computed, not measured: K2GaPd2 after structural relaxation at the GGA-PBE level of DFT.

Cell lengths 6.5755, 6.5755, 5.5971 Å; angles 90.00, 90.00, 90.00 degrees
Closest atoms and distances in Å follow each position.
Atoms (fractional coordinates):
1 Ga 0.5000 0.5000 0.0000  4 Pd 2.52
2 Ga 0.0000 0.0000 0.0000  4 Pd 2.52
3 Pd 0.3540 0.8540 0.0000  2 Ga 2.52, 1 Pd 2.71
4 Pd 0.8540 0.6460 0.0000  2 Ga 2.52, 1 Pd 2.71
5 Pd 0.6460 0.1460 0.0000  2 Ga 2.52, 1 Pd 2.71
6 Pd 0.1460 0.3540 0.0000  2 Ga 2.52, 1 Pd 2.71
7 K 0.3228 0.1772 0.5000  6 Pd 3.25-3.52, 5 K 3.30-3.42
8 K 0.8228 0.3228 0.5000  6 Pd 3.25-3.52, 5 K 3.30-3.42
9 K 0.6772 0.8228 0.5000  6 Pd 3.25-3.52, 5 K 3.30-3.42
10 K 0.1772 0.6772 0.5000  6 Pd 3.25-3.52, 5 K 3.30-3.42

Its formation energy is -184 meV per atom. The space group is P4/mbm (127).

=====

Entry 2:
Computed, not measured: KGa3Pd after structural relaxation at the GGA-PBE level of DFT.

Cell lengths 6.5258, 8.4826, 8.4826 Å; angles 96.41, 83.43, 83.43 degrees
Closest atoms and distances in Å follow each position.
Atoms (fractional coordinates):
1 Ga 0.5201 0.9815 0.7541  3 Pd 2.61-2.75, 4 Ga 2.62-2.89
2 Ga 0.0755 0.0220 0.7476  3 Pd 2.60-2.82, 3 Ga 2.71-2.89
3 Ga 0.4799 0.0185 0.2459  3 Pd 2.61-2.75, 4 Ga 2.62-2.89
4 Ga 0.6421 0.1320 0.4964  1 Pd 2.56, 3 Ga 2.62-2.74
5 Ga 0.3579 0.8680 0.5036  1 Pd 2.56, 3 Ga 2.62-2.74
6 Ga 0.8579 0.5036 0.8680  1 Pd 2.56, 3 Ga 2.62-2.74
7 Ga 0.9245 0.9780 0.2524  3 Pd 2.60-2.82, 3 Ga 2.71-2.89
8 Ga 0.4245 0.2524 0.9780  3 Pd 2.60-2.82, 3 Ga 2.71-2.89
9 Ga 0.0201 0.7541 0.9815  3 Pd 2.61-2.75, 4 Ga 2.62-2.89
10 Ga 0.5755 0.7476 0.0220  3 Pd 2.60-2.82, 3 Ga 2.71-2.89
11 Ga 0.9799 0.2459 0.0185  3 Pd 2.61-2.75, 4 Ga 2.62-2.89
12 Ga 0.1421 0.4964 0.1320  1 Pd 2.56, 3 Ga 2.62-2.74
13 K 0.3889 0.5386 0.7261  6 Ga 3.28-3.59, 1 Pd 3.37
14 K 0.6111 0.4614 0.2739  6 Ga 3.28-3.59, 1 Pd 3.37
15 K 0.8889 0.7261 0.5386  6 Ga 3.28-3.59, 1 Pd 3.37
16 K 0.1111 0.2739 0.4614  6 Ga 3.28-3.59, 1 Pd 3.37
17 Pd 0.2500 0.7660 0.2340  6 Ga 2.56-2.75, 1 Pd 2.86
18 Pd 0.2500 0.9920 0.0080  8 Ga 2.61-2.82, 1 Pd 2.86
19 Pd 0.7500 0.0080 0.9920  8 Ga 2.61-2.82, 1 Pd 2.86
20 Pd 0.7500 0.2340 0.7660  6 Ga 2.56-2.75, 1 Pd 2.86

Its formation energy is -258 meV per atom. The space group is C2/c (15).

=====

Entry 3:
Computed, not measured: KGa6Pd3 after structural relaxation at the GGA-PBE level of DFT.

Cell lengths 6.8692, 7.2270, 8.1982 Å; angles 113.51, 90.00, 90.00 degrees
Closest atoms and distances in Å follow each position.
Atoms (fractional coordinates):
1 Ga 0.6826 0.5875 0.8867  2 Pd 2.47-2.55, 2 Ga 2.72-2.73
2 Ga 0.8174 0.0875 0.3867  2 Pd 2.47-2.55, 2 Ga 2.72-2.73
3 Ga 0.7995 0.1943 0.7438  4 Pd 2.62-2.82, 3 Ga 2.72-2.80
4 Ga 0.1826 0.9125 0.6133  2 Pd 2.47-2.55, 2 Ga 2.72-2.73
5 Ga 0.9734 0.4504 0.3180  4 Pd 2.64-2.82, 3 Ga 2.80-2.85
6 Ga 0.0266 0.5496 0.6820  4 Pd 2.64-2.82, 3 Ga 2.80-2.85
7 Ga 0.4734 0.0496 0.1820  4 Pd 2.64-2.82, 3 Ga 2.80-2.85
8 Ga 0.7005 0.6943 0.2438  4 Pd 2.62-2.82, 3 Ga 2.72-2.80
9 Ga 0.2995 0.3057 0.7562  4 Pd 2.62-2.82, 3 Ga 2.72-2.80
10 Ga 0.2005 0.8057 0.2562  4 Pd 2.62-2.82, 3 Ga 2.72-2.80
11 Ga 0.3174 0.4125 0.1133  2 Pd 2.47-2.55, 2 Ga 2.72-2.73
12 Ga 0.5266 0.9504 0.8180  4 Pd 2.64-2.82, 3 Ga 2.80-2.85
13 Pd 0.0000 0.5000 0.0000  8 Ga 2.55-2.82
14 Pd 0.1610 0.1977 0.4232  5 Ga 2.47-2.74
15 Pd 0.3390 0.6977 0.9232  5 Ga 2.47-2.74
16 Pd 0.8390 0.8023 0.5768  5 Ga 2.47-2.74
17 Pd 0.5000 0.0000 0.5000  8 Ga 2.55-2.82
18 Pd 0.6610 0.3023 0.0768  5 Ga 2.47-2.74
19 K 0.5000 0.5000 0.5000  4 Pd 3.08-3.37, 6 Ga 3.23-3.26
20 K 0.0000 0.0000 0.0000  4 Pd 3.08-3.37, 6 Ga 3.23-3.26

Its formation energy is -307 meV per atom. The space group is P2_1/c (14).